1.
A geometry-optimized DyHg2Au structure, computed with PBE.

Results
Symmetry: R-3m
E: -1.9708 eV per atom
Energy above the most stable polymorph in this dataset: 601 meV/atom

Cell and atoms, written as POSCAR:
```
DyHg2Au
1.0
-1.597 2.926 0.742
-1.142 0.565 3.168
8.237 5.520 3.825
Au Hg Dy
1 2 1
Direct
0.500 0.500 0.500 Au
0.096 0.096 0.712 Hg
0.904 0.904 0.288 Hg
0.000 0.000 0.000 Dy
```



2.
A geometry-optimized UPt2Rh2 structure, computed with PBE.

Results
Symmetry: I4/mmm
E: -7.8861 eV per atom
Energy above the most stable polymorph in this dataset: 0 meV/atom

Cell and atoms, written as POSCAR:
```
UPt2Rh2
1.0
3.774 0.000 0.000
0.000 3.774 0.000
-1.887 -1.887 6.390
U Pt Rh
1 2 2
Direct
0.000 0.000 0.000 U
0.399 0.399 0.798 Pt
0.601 0.601 0.202 Pt
0.250 0.750 0.500 Rh
0.750 0.250 0.500 Rh
```



3.
A geometry-optimized Ba4CaAg structure, computed with PBE.

Results
Symmetry: F-43m
E: -1.6851 eV per atom
Energy above the most stable polymorph in this dataset: 466 meV/atom

Cell and atoms, written as POSCAR:
```
Ba4CaAg
1.0
0.000 5.430 5.430
5.430 0.000 5.430
5.430 5.430 0.000
Ba Ca Ag
4 1 1
Direct
0.876 0.375 0.375 Ba
0.375 0.375 0.876 Ba
0.375 0.876 0.375 Ba
0.375 0.375 0.375 Ba
0.750 0.750 0.750 Ca
0.000 0.000 0.000 Ag
```



4.
A geometry-optimized InAuBr2 structure, computed with PBE.

Results
Symmetry: C2/m
E: -2.6935 eV per atom
Energy above the most stable polymorph in this dataset: 60 meV/atom
Formation energy from raw total energies: -0.3531 eV/atom

Cell and atoms, written as POSCAR:
```
InAuBr2
1.0
-4.612 1.807 2.107
-2.044 -1.474 4.757
4.101 5.246 2.521
Au Br In
1 2 1
Direct
0.750 0.750 0.750 Au
0.910 0.910 0.042 Br
0.590 0.590 0.458 Br
0.250 0.250 0.250 In
```



5.
A geometry-optimized PuBPd6 structure, computed with PBE.

Results
Symmetry: R-3m
E: -6.7198 eV per atom

Cell and atoms, written as POSCAR:
```
PuBPd6
1.0
-0.876 -4.745 1.945
-0.457 -1.017 -5.081
5.183 0.192 0.411
Pu B Pd
1 1 6
Direct
0.000 0.000 0.000 Pu
0.500 0.500 0.500 B
0.215 0.215 0.590 Pd
0.590 0.215 0.215 Pd
0.785 0.785 0.410 Pd
0.785 0.410 0.785 Pd
0.410 0.785 0.785 Pd
0.215 0.590 0.215 Pd
```



6.
A geometry-optimized Sr3LaCe2N6 structure, computed with PBE.

Results
Symmetry: C2/m
E: -7.0391 eV per atom
Formation energy from raw total energies: -1.0563 eV/atom

Cell and atoms, written as POSCAR:
```
Sr3LaCe2N6
1.0
-3.893 4.764 -1.915
-2.188 -4.969 3.470
2.996 3.087 4.631
Sr La Ce N
3 1 2 6
Direct
0.168 0.832 0.500 Sr
0.832 0.168 0.500 Sr
0.500 0.500 0.500 Sr
0.000 0.000 0.000 La
0.333 0.667 0.000 Ce
0.667 0.333 0.000 Ce
0.920 0.572 0.789 N
0.730 0.730 0.216 N
0.080 0.428 0.211 N
0.572 0.920 0.789 N
0.270 0.270 0.784 N
0.428 0.080 0.211 N
```



7.
A geometry-optimized Ce2BrN2 structure, computed with PBE.

Results
Symmetry: C2/m
E: -7.6714 eV per atom
Energy above the most stable polymorph in this dataset: 0 meV/atom
Formation energy from raw total energies: -1.6331 eV/atom

Cell and atoms, written as POSCAR:
```
Ce2BrN2
1.0
-0.348 1.089 -3.878
3.917 -0.816 -0.581
-3.258 -6.362 0.538
Ce Br N
2 1 2
Direct
0.672 0.672 0.338 Ce
0.328 0.328 0.662 Ce
0.000 0.000 0.000 Br
0.250 0.750 0.500 N
0.750 0.250 0.500 N
```



8.
A geometry-optimized BaCaIn3 structure, computed with PBE.

Results
Symmetry: Pm-3m
E: -1.8487 eV per atom

Cell and atoms, written as POSCAR:
```
BaCaIn3
1.0
-2.937 -2.995 4.556
5.195 -3.109 1.305
1.656 4.441 3.987
Ca Ba In
1 1 3
Direct
0.500 0.500 0.500 Ca
0.000 0.000 0.000 Ba
0.000 0.500 0.000 In
0.000 0.000 0.500 In
0.500 0.000 0.000 In
```



9.
A geometry-optimized ZrAlTc structure, computed with PBE.

Results
Symmetry: Amm2
E: -7.9368 eV per atom
Energy above the most stable polymorph in this dataset: 124 meV/atom

Cell and atoms, written as POSCAR:
```
ZrAlTc
1.0
3.434 0.000 0.000
0.000 4.477 0.000
0.000 0.000 13.430
Tc Zr Al
4 4 4
Direct
0.000 0.000 0.008 Tc
0.000 0.500 0.508 Tc
0.000 0.000 0.682 Tc
0.000 0.500 0.182 Tc
0.500 0.000 0.852 Zr
0.500 0.500 0.352 Zr
0.500 0.000 0.169 Zr
0.500 0.500 0.669 Zr
0.500 0.000 0.523 Al
0.500 0.500 0.023 Al
0.000 0.000 0.353 Al
0.000 0.500 0.853 Al
```



10.
A geometry-optimized TaSi2Ni2 structure, computed with PBE.

Results
Symmetry: P4/mbm
E: -7.1629 eV per atom
Formation energy from raw total energies: -0.3106 eV/atom

Cell and atoms, written as POSCAR:
```
TaSi2Ni2
1.0
6.905 0.000 0.000
0.000 6.905 0.000
0.000 0.000 2.682
Ni Si Ta
4 4 2
Direct
0.375 0.875 0.000 Ni
0.875 0.625 0.000 Ni
0.625 0.125 0.000 Ni
0.125 0.375 0.000 Ni
0.169 0.669 0.500 Si
0.669 0.831 0.500 Si
0.831 0.331 0.500 Si
0.331 0.169 0.500 Si
0.000 0.000 0.000 Ta
0.500 0.500 0.000 Ta
```



11.
A geometry-optimized Li2CrCo structure, computed with PBE.

Results
Symmetry: Cmmm
E: -4.8107 eV per atom
Energy above the most stable polymorph in this dataset: 70 meV/atom

Cell and atoms, written as POSCAR:
```
Li2CrCo
1.0
2.389 0.044 0.000
-0.900 2.213 0.000
0.000 0.000 9.066
Co Cr Li
1 1 2
Direct
0.500 0.500 0.250 Co
0.500 0.500 0.750 Cr
0.000 0.000 0.011 Li
0.000 0.000 0.489 Li
```



12.
A geometry-optimized Sr2IrF structure, computed with PBE.

Results
Symmetry: Fm-3m
E: -4.6318 eV per atom
Energy above the most stable polymorph in this dataset: 37 meV/atom
Formation energy from raw total energies: -1.1078 eV/atom

Cell and atoms, written as POSCAR:
```
Sr2IrF
1.0
0.000 3.559 3.559
3.559 0.000 3.559
3.559 3.559 0.000
Sr Ir F
2 1 1
Direct
0.250 0.250 0.250 Sr
0.750 0.750 0.750 Sr
0.500 0.500 0.500 Ir
0.000 0.000 0.000 F
```